# CePa4P6, relaxed, DFT PBE
# ΔE_f in eV per atom: -1.0381
# D(E_F) in states/eV/f.u.: 13.00
# Mass density in g cm⁻³: 8.84
data_CePa4P6
_symmetry_space_group_name_H-M 'R -3 c'
_symmetry_Int_Tables_number 167
_symmetry_space_group_name_Hall '-R 3 2"c'
_cell_length_a 10.9506
_cell_length_b 10.9506
_cell_length_c 13.5718
_cell_angle_alpha 90.00
_cell_angle_beta 90.00
_cell_angle_gamma 120.00
loop_
_atom_site_label
_atom_site_type_symbol
_atom_site_fract_x
_atom_site_fract_y
_atom_site_fract_z
Ce1 Ce 0.0000 0.0000 0.0000
Pa1 Pa 0.0000 0.0000 0.2500
Pa2 Pa 0.0000 0.3889 0.2500
P1 P 0.0314 0.2143 0.3824

---

# CePaP, relaxed, DFT PBE
# ΔE_f in eV per atom: -0.6288
# D(E_F) in states/eV/f.u.: 5.46
# Mass density in g cm⁻³: 10.03
data_CePaP
_symmetry_space_group_name_H-M 'P 3 m 1'
_symmetry_Int_Tables_number 156
_cell_length_a 3.8132
_cell_length_b 3.8132
_cell_length_c 5.2879
_cell_angle_alpha 90.00
_cell_angle_beta 90.00
_cell_angle_gamma 120.00
loop_
_symmetry_equiv_pos_as_xyz
'x,y,z'
'-y,x-y,z'
'-x+y,-x,z'
'-y,-x,z'
'-x+y,y,z'
'x,x-y,z'
loop_
_atom_site_label
_atom_site_type_symbol
_atom_site_fract_x
_atom_site_fract_y
_atom_site_fract_z
Ce1 Ce 0.0000 0.0000 0.0000
Pa1 Pa 0.6667 0.3333 0.6710
P1 P 0.3333 0.6667 0.3507

---

# CePaP, relaxed, DFT PBE
# ΔE_f in eV per atom: -0.5215
# D(E_F) in states/eV/f.u.: 7.11
# Mass density in g cm⁻³: 9.33
data_CePaP
_symmetry_space_group_name_H-M 'C m c m'
_symmetry_Int_Tables_number 63
_symmetry_space_group_name_Hall '-C 2c 2'
_cell_length_a 3.457
_cell_length_b 24.008
_cell_length_c 3.449
_cell_angle_alpha 90.00
_cell_angle_beta 90.00
_cell_angle_gamma 90.00
loop_
_atom_site_label
_atom_site_type_symbol
_atom_site_fract_x
_atom_site_fract_y
_atom_site_fract_z
Ce1 Ce 0.000 0.189 0.250
Pa1 Pa 0.000 0.057 0.250
P1 P 0.000 0.381 0.250

---

# CePa2P, relaxed, DFT PBE
# ΔE_f in eV per atom: -0.2035
# D(E_F) in states/eV/f.u.: 6.40
# Mass density in g cm⁻³: 10.79
data_CePa2P
_symmetry_space_group_name_H-M 'R -3 m'
_symmetry_Int_Tables_number 166
_symmetry_space_group_name_Hall '-R 3 2"'
_cell_length_a 3.4005
_cell_length_b 3.4005
_cell_length_c 29.1865
_cell_angle_alpha 90.00
_cell_angle_beta 90.00
_cell_angle_gamma 120.00
loop_
_atom_site_label
_atom_site_type_symbol
_atom_site_fract_x
_atom_site_fract_y
_atom_site_fract_z
Ce1 Ce 0.0000 0.0000 0.0000
Pa1 Pa 0.0000 0.0000 0.1021
P1 P 0.0000 0.0000 0.5000

---

# CePaP, relaxed, DFT PBE
# ΔE_f in eV per atom: -0.4476
# D(E_F) in states/eV/f.u.: 7.32
# Mass density in g cm⁻³: 9.20
data_CePaP
_symmetry_space_group_name_H-M 'F -4 3 m'
_symmetry_Int_Tables_number 216
_symmetry_space_group_name_Hall 'F -4 2 3'
_cell_length_a 6.621
_cell_length_b 6.621
_cell_length_c 6.621
_cell_angle_alpha 90.00
_cell_angle_beta 90.00
_cell_angle_gamma 90.00
loop_
_atom_site_label
_atom_site_type_symbol
_atom_site_fract_x
_atom_site_fract_y
_atom_site_fract_z
Ce1 Ce 0.000 0.000 0.000
Pa1 Pa 0.000 0.000 0.500
P1 P 0.250 0.250 0.250

---

# CePa2P, relaxed, DFT PBE
# ΔE_f in eV per atom: -0.3359
# D(E_F) in states/eV/f.u.: 10.77
# Mass density in g cm⁻³: 11.43
data_CePa2P
_symmetry_space_group_name_H-M 'P 4/m m m'
_symmetry_Int_Tables_number 123
_symmetry_space_group_name_Hall '-P 4 2'
_cell_length_a 3.788
_cell_length_b 3.788
_cell_length_c 6.413
_cell_angle_alpha 90.00
_cell_angle_beta 90.00
_cell_angle_gamma 90.00
loop_
_atom_site_label
_atom_site_type_symbol
_atom_site_fract_x
_atom_site_fract_y
_atom_site_fract_z
Ce1 Ce 0.000 0.000 0.000
Pa1 Pa 0.500 0.500 0.291
P1 P 0.000 0.000 0.500

---

# CePaP, relaxed, DFT PBE
# ΔE_f in eV per atom: -0.5581
# D(E_F) in states/eV/f.u.: 7.42
# Mass density in g cm⁻³: 9.82
data_CePaP
_symmetry_space_group_name_H-M 'I 4 m m'
_symmetry_Int_Tables_number 107
_symmetry_space_group_name_Hall 'I 4 -2'
_cell_length_a 3.825
_cell_length_b 3.825
_cell_length_c 9.292
_cell_angle_alpha 90.00
_cell_angle_beta 90.00
_cell_angle_gamma 90.00
loop_
_atom_site_label
_atom_site_type_symbol
_atom_site_fract_x
_atom_site_fract_y
_atom_site_fract_z
Ce1 Ce 0.000 0.000 0.000
Pa1 Pa 0.000 0.000 0.720
P1 P 0.000 0.000 0.351

---

# Ce3PaP4, relaxed, DFT PBE
# ΔE_f in eV per atom: -1.4558
# D(E_F) in states/eV/f.u.: 13.68
# Mass density in g cm⁻³: 6.85
data_Ce3PaP4
_symmetry_space_group_name_H-M 'C m m m'
_symmetry_Int_Tables_number 65
_symmetry_space_group_name_Hall '-C 2 2'
_cell_length_a 8.109
_cell_length_b 11.457
_cell_length_c 4.048
_cell_angle_alpha 90.00
_cell_angle_beta 90.00
_cell_angle_gamma 90.00
loop_
_atom_site_label
_atom_site_type_symbol
_atom_site_fract_x
_atom_site_fract_y
_atom_site_fract_z
Ce1 Ce 0.000 0.000 0.000
Ce2 Ce 0.250 0.250 0.500
Pa1 Pa 0.000 0.500 0.000
P1 P 0.000 0.254 0.000
P2 P 0.242 0.500 0.500

---

# Ce5PaP6, relaxed, DFT PBE
# ΔE_f in eV per atom: -1.4707
# D(E_F) in states/eV/f.u.: 22.46
# Mass density in g cm⁻³: 6.51
data_Ce5PaP6
_symmetry_space_group_name_H-M 'C 1 2/m 1'
_symmetry_Int_Tables_number 12
_cell_length_a 7.043
_cell_length_b 12.196
_cell_length_c 7.042
_cell_angle_alpha 90.00
_cell_angle_beta 109.46
_cell_angle_gamma 90.00
loop_
_symmetry_equiv_pos_as_xyz
'x,y,z'
'-x,-y,-z'
'-x,y,-z'
'x,-y,z'
'x+1/2,y+1/2,z'
'-x+1/2,-y+1/2,-z'
'-x+1/2,y+1/2,-z'
'x+1/2,-y+1/2,z'
loop_
_atom_site_label
_atom_site_type_symbol
_atom_site_fract_x
_atom_site_fract_y
_atom_site_fract_z
Ce1 Ce 0.000 0.000 0.000
Ce2 Ce 0.000 0.166 0.500
Ce3 Ce 0.000 0.332 0.000
Pa1 Pa 0.000 0.500 0.500
P1 P 0.244 0.500 0.254
P2 P 0.245 0.337 0.745

---

# CePa2P, relaxed, DFT PBE
# ΔE_f in eV per atom: -0.4663
# D(E_F) in states/eV/f.u.: 8.63
# Mass density in g cm⁻³: 12.24
data_CePa2P
_symmetry_space_group_name_H-M 'P 4/m m m'
_symmetry_Int_Tables_number 123
_symmetry_space_group_name_Hall '-P 4 2'
_cell_length_a 4.392
_cell_length_b 4.392
_cell_length_c 4.452
_cell_angle_alpha 90.00
_cell_angle_beta 90.00
_cell_angle_gamma 90.00
loop_
_atom_site_label
_atom_site_type_symbol
_atom_site_fract_x
_atom_site_fract_y
_atom_site_fract_z
Ce1 Ce 0.000 0.000 0.000
Pa1 Pa 0.000 0.500 0.500
P1 P 0.500 0.500 0.000

---

# Ce4PaP6, relaxed, DFT PBE
# ΔE_f in eV per atom: -1.2246
# D(E_F) in states/eV/f.u.: 20.54
# Mass density in g cm⁻³: 6.32
data_Ce4PaP6
_symmetry_space_group_name_H-M 'R -3 c'
_symmetry_Int_Tables_number 167
_symmetry_space_group_name_Hall '-R 3 2"c'
_cell_length_a 11.2484
_cell_length_b 11.2484
_cell_length_c 14.0596
_cell_angle_alpha 90.00
_cell_angle_beta 90.00
_cell_angle_gamma 120.00
loop_
_atom_site_label
_atom_site_type_symbol
_atom_site_fract_x
_atom_site_fract_y
_atom_site_fract_z
Ce1 Ce 0.0000 0.0000 0.2500
Ce2 Ce 0.0000 0.3791 0.2500
Pa1 Pa 0.0000 0.0000 0.0000
P1 P 0.0263 0.2071 0.3876

---

# Ce5Pa3P8, relaxed, DFT PBE
# ΔE_f in eV per atom: -1.4380
# D(E_F) in states/eV/f.u.: 23.12
# Mass density in g cm⁻³: 7.34
data_Ce5Pa3P8
_symmetry_space_group_name_H-M 'R -3 m'
_symmetry_Int_Tables_number 166
_symmetry_space_group_name_Hall '-R 3 2"'
_cell_length_a 8.0631
_cell_length_b 8.0631
_cell_length_c 19.7864
_cell_angle_alpha 90.00
_cell_angle_beta 90.00
_cell_angle_gamma 120.00
loop_
_atom_site_label
_atom_site_type_symbol
_atom_site_fract_x
_atom_site_fract_y
_atom_site_fract_z
Ce1 Ce 0.0000 0.0000 0.0000
Ce2 Ce 0.0000 0.0000 0.5000
Ce3 Ce 0.0000 0.5000 0.0000
Pa1 Pa 0.0000 0.5000 0.5000
P1 P 0.0000 0.0000 0.2469
P2 P 0.0047 0.5023 0.7523